# YAl2Ge2

A relaxed YAl2Ge2 crystal (PBEsol, Alexandria via LeMat-Bulk).

## Properties
Electronic total energy ... -27.14 eV/cell
Space group ... P-3m1 (164)
Formation energy from the elements ... -2.256 eV per formula unit
Magnetization ... 0.00 Bohr magnetons per cell
ρ ... 4.7 g/cm³

Cell: 4.2306 4.2306 6.5439 Å, 90.00 90.00 120.00°
Element x y z (fractional)
Al: 0.3333 0.6667 0.6462
Al: 0.6667 0.3333 0.3538
Ge: 0.3333 0.6667 0.2563
Ge: 0.6667 0.3333 0.7437
Y: 0.0000 0.0000 0.0000

# YAlGe3

A relaxed YAlGe3 crystal (PBEsol, Alexandria via LeMat-Bulk).

## Properties
Electronic total energy ... -24.96 eV/cell
Space group ... Pm-3m (221)
Formation energy from the elements ... 0.769 eV per formula unit
Magnetization ... 0.00 Bohr magnetons per cell
ρ ... 5.0 g/cm³

Cell: 4.8091 4.8091 4.8091 Å, 90.00 90.00 90.00°
Element x y z (fractional)
Ge: 0.5000 0.0000 0.0000
Ge: 0.0000 0.0000 0.5000
Ge: 0.0000 0.5000 0.0000
Y: 0.5000 0.5000 0.5000
Al: 0.0000 0.0000 0.0000

# YAlGe

A relaxed YAlGe crystal (PBEsol, Alexandria via LeMat-Bulk).

## Properties
Electronic total energy ... -36.04 eV/cell
Space group ... Cmcm (63)
Formation energy from the elements ... -2.168 eV per formula unit
Magnetization ... 0.00 Bohr magnetons per cell
ρ ... 5.3 g/cm³

Cell: 4.0247 5.5352 5.7179 Å, 90.00 90.00 111.32°
Element x y z (fractional)
Al: 0.0000 0.0000 0.0000
Al: 0.0000 0.0000 0.5000
Y: 0.3090 0.6179 0.7500
Y: 0.6910 0.3821 0.2500
Ge: 0.6051 0.2102 0.7500
Ge: 0.3949 0.7898 0.2500